1.
A relaxed structure of LaCeAs. Source: the Alexandria database, functional PBE.

abc: 4.1079 4.1079 6.7718
angles: 90.00 90.00 120.00
Space group P3m1 (No. 156)
One atom of each set of equivalent atoms:
La 0.0000 0.0000 0.0000 (multiplicity 1)
Ce 0.6667 0.3333 0.4727 (multiplicity 1)
As 0.3333 0.6667 0.7261 (multiplicity 1)

Output
Total magnetic moment in μB per formula unit: 2.2
Density in g/cm³: 5.9
Fermi-level density of states in states/eV per cell: 6.61
Total energy in eV per cell: -17.9

---

2.
A relaxed structure of LaCe5As6. Source: the Alexandria database, functional PBE.

abc: 7.356 12.740 7.356
angles: 90.00 109.48 90.00
Space group C2/m (No. 12)
One atom of each set of equivalent atoms:
La 0.000 0.000 0.000 (multiplicity 2)
Ce 0.000 0.166 0.500 (multiplicity 4)
Ce 0.000 0.333 0.000 (multiplicity 4)
Ce 0.000 0.500 0.500 (multiplicity 2)
As 0.245 0.500 0.253 (multiplicity 4)
As 0.246 0.331 0.746 (multiplicity 8)

Output
Total magnetic moment in μB per formula unit: 3.6
Density in g/cm³: 6.6
Fermi-level density of states in states/eV per cell: 50.81
Total energy in eV per cell: -159.7